No. 1
VASP calculation (PBE) on an optimized crystal structure of NiSb2W.

Cell: 8.2123 8.2123 8.2123 Å, 22.90 22.90 22.90°
Closest atoms and distances in Å follow each position.
Fractional positions:
Ni1 0.7500 0.7500 0.7500  6 Sb 2.65
Sb1 0.0053 0.0053 0.0053  3 Ni 2.65, 3 W 2.84
Sb2 0.4947 0.4947 0.4947  3 Ni 2.65, 3 W 2.84
W1 0.2500 0.2500 0.2500  6 Sb 2.84

Values from the calculation:
Space group: R-3m, No. 166
Distance to the lowest polymorph of the same formula: 0.193 eV per atom
DFT total energy: -6.366 eV/atom
N(E_F): 3.443 states/eV/f.u.
Total magnetic moment: 0.00 μB/f.u.
Raw formation energy: 1.51 eV per formula unit



No. 2
VASP calculation (PBE) on an optimized crystal structure of NiSb2W.

Cell: 4.7517 4.7517 4.7517 Å, 60.00 60.00 60.00°
Closest atoms and distances in Å follow each position.
Fractional positions:
Ni1 0.5000 0.5000 0.5000  4 W 2.91, 4 Sb 2.91
Sb1 0.0000 0.0000 0.0000  4 W 2.91, 4 Sb 2.91
Sb2 0.2500 0.2500 0.2500  4 Ni 2.91, 4 Sb 2.91
W1 0.7500 0.7500 0.7500  4 Sb 2.91, 4 Ni 2.91

Values from the calculation:
Space group: F-43m, No. 216
Distance to the lowest polymorph of the same formula: 0.701 eV per atom
DFT total energy: -5.858 eV/atom
N(E_F): 4.107 states/eV/f.u.
Total magnetic moment: 0.00 μB/f.u.
Raw formation energy: 3.55 eV per formula unit



No. 3
VASP calculation (PBE) on an optimized crystal structure of NiSb3W.

Cell: 4.9013 4.9013 4.9013 Å, 90.00 90.00 90.00°
Closest atoms and distances in Å follow each position.
Fractional positions:
Sb1 0.0000 0.5000 0.0000  2 Ni 2.45
Sb2 0.0000 0.0000 0.5000  2 Ni 2.45
Sb3 0.5000 0.0000 0.0000  2 Ni 2.45
W1 0.5000 0.5000 0.5000  12 Sb 3.47
Ni1 0.0000 0.0000 0.0000  6 Sb 2.45

Values from the calculation:
Space group: Pm-3m, No. 221
Distance to the lowest polymorph of the same formula: 0.018 eV per atom
DFT total energy: -5.143 eV/atom
N(E_F): 3.918 states/eV/f.u.
Total magnetic moment: 2.58 μB/f.u.
Raw formation energy: 5.38 eV per formula unit



No. 4
VASP calculation (PBE) on an optimized crystal structure of NiSb2W.

Cell: 5.0209 5.0209 5.0209 Å, 136.36 121.95 75.35°
Closest atoms and distances in Å follow each position.
Fractional positions:
Ni1 0.7500 0.2500 0.5000  4 Sb 2.56
Sb1 0.9707 0.9707 0.0000  2 Ni 2.56
Sb2 0.5293 0.5293 0.0000  2 Ni 2.56
W1 0.2500 0.7500 0.5000  8 Sb 2.90-3.00, 4 Ni 3.07

Values from the calculation:
Space group: Immm, No. 71
Distance to the lowest polymorph of the same formula: 0.305 eV per atom
DFT total energy: -6.254 eV/atom
N(E_F): 2.716 states/eV/f.u.
Total magnetic moment: 0.00 μB/f.u.
Raw formation energy: 1.96 eV per formula unit



No. 5
VASP calculation (PBE) on an optimized crystal structure of NiSb2W.

Cell: 3.4059 3.4107 6.7788 Å, 65.40 90.00 90.00°
Closest atoms and distances in Å follow each position.
Fractional positions:
Ni1 0.5000 0.7500 0.7500  4 Sb 2.68
Sb1 0.0000 0.9604 0.9949  2 Ni 2.68, 4 W 2.88
Sb2 0.0000 0.5396 0.5051  2 Ni 2.68, 4 W 2.88
W1 0.5000 0.2500 0.2500  8 Sb 2.88, 2 Ni 3.10

Values from the calculation:
Space group: P2/m, No. 10
Distance to the lowest polymorph of the same formula: 0.195 eV per atom
DFT total energy: -6.364 eV/atom
N(E_F): 2.895 states/eV/f.u.
Total magnetic moment: 0.00 μB/f.u.
Raw formation energy: 1.52 eV per formula unit



No. 6
VASP calculation (PBE) on an optimized crystal structure of Ni2Sb2W.

Cell: 4.7740 4.7740 5.1253 Å, 62.24 62.24 90.00°
Closest atoms and distances in Å follow each position.
Fractional positions:
Sb1 0.7500 0.2500 0.5000  4 Ni 2.52
Sb2 0.2500 0.7500 0.5000  4 Ni 2.52
W1 0.0000 0.0000 0.0000  2 Ni 2.75, 8 Sb 3.07
Ni1 0.3563 0.3563 0.2874  1 Ni 2.22
Ni2 0.6437 0.6437 0.7126  1 Ni 2.22

Values from the calculation:
Space group: I4/mmm, No. 139
Distance to the lowest polymorph of the same formula: 0.364 eV per atom
DFT total energy: -5.878 eV/atom
N(E_F): 3.881 states/eV/f.u.
Total magnetic moment: 0.00 μB/f.u.
Raw formation energy: 3.37 eV per formula unit



No. 7
VASP calculation (PBE) on an optimized crystal structure of NiSb2W.

Cell: 5.5076 5.5076 5.5076 Å, 138.11 138.11 60.74°
Closest atoms and distances in Å follow each position.
Fractional positions:
Ni1 0.2500 0.7500 0.5000  8 Sb 2.78-3.09, 4 W 3.09
Sb1 0.0000 0.0000 0.0000  4 W 2.78, 4 Sb 3.09, 4 Ni 3.09
Sb2 0.7500 0.2500 0.5000  4 Ni 2.78, 4 Sb 3.09, 4 W 3.09
W1 0.5000 0.5000 0.0000  8 Sb 2.78-3.09, 4 Ni 3.09

Values from the calculation:
Space group: I-4m2, No. 119
Distance to the lowest polymorph of the same formula: 0.453 eV per atom
DFT total energy: -6.106 eV/atom
N(E_F): 4.015 states/eV/f.u.
Total magnetic moment: 0.57 μB/f.u.
Raw formation energy: 2.55 eV per formula unit



No. 8
VASP calculation (PBE) on an optimized crystal structure of NiSb2W.

Cell: 3.1206 3.1206 7.9325 Å, 90.00 90.00 105.14°
Closest atoms and distances in Å follow each position.
Fractional positions:
Ni1 0.5000 0.5000 0.7500  4 Sb 2.65
Sb1 0.0000 0.0000 0.9838  2 Ni 2.65, 2 W 2.84
Sb2 0.0000 0.0000 0.5162  2 Ni 2.65, 2 W 2.84
W1 0.5000 0.5000 0.2500  4 Sb 2.84, 4 W 3.12

Values from the calculation:
Space group: Cmmm, No. 65
Distance to the lowest polymorph of the same formula: 0.444 eV per atom
DFT total energy: -6.115 eV/atom
N(E_F): 3.868 states/eV/f.u.
Total magnetic moment: 0.00 μB/f.u.
Raw formation energy: 2.52 eV per formula unit



No. 9
VASP calculation (PBE) on an optimized crystal structure of NiSb3W.

Cell: 5.1995 5.1995 5.1995 Å, 90.00 90.00 90.00°
Closest atoms and distances in Å follow each position.
Fractional positions:
Sb1 0.0000 0.5000 0.0000  2 W 2.60
Sb2 0.0000 0.0000 0.5000  2 W 2.60
Sb3 0.5000 0.0000 0.0000  2 W 2.60
W1 0.0000 0.0000 0.0000  6 Sb 2.60
Ni1 0.5000 0.5000 0.5000  12 Sb 3.68

Values from the calculation:
Space group: Pm-3m, No. 221
Distance to the lowest polymorph of the same formula: 0.000 eV per atom
DFT total energy: -5.161 eV/atom
N(E_F): 4.148 states/eV/f.u.
Total magnetic moment: 0.00 μB/f.u.
Raw formation energy: 5.30 eV per formula unit



No. 10
VASP calculation (PBE) on an optimized crystal structure of NiSb2W.

Cell: 6.8506 6.8506 6.8506 Å, 154.33 145.35 43.62°
Closest atoms and distances in Å follow each position.
Fractional positions:
Ni1 0.7524 0.2524 0.5000  4 Sb 2.58, 2 W 2.76
Sb1 0.9558 0.9558 0.0000  4 W 2.94, 2 Ni 3.00, 2 Sb 3.04
Sb2 0.2202 0.7202 0.5000  4 Ni 2.58, 2 W 2.78
W1 0.5716 0.5716 0.0000  2 Ni 2.76, 6 Sb 2.78-2.94, 2 W 3.04

Values from the calculation:
Space group: Imm2, No. 44
Distance to the lowest polymorph of the same formula: 0.226 eV per atom
DFT total energy: -6.333 eV/atom
N(E_F): 3.489 states/eV/f.u.
Total magnetic moment: 0.00 μB/f.u.
Raw formation energy: 1.65 eV per formula unit



No. 11
VASP calculation (PBE) on an optimized crystal structure of NiSb2W.

Cell: 3.0766 3.0766 8.9174 Å, 90.00 90.00 89.97°
Closest atoms and distances in Å follow each position.
Fractional positions:
Ni1 0.5000 0.5000 0.7190  4 W 2.63-2.64, 4 Sb 2.71-2.72
Sb1 0.0000 0.0000 0.9011  4 Ni 2.71-2.72
Sb2 0.5000 0.5000 0.3276  4 W 2.96, 4 Sb 3.08
W1 0.0000 0.0000 0.5523  4 Ni 2.63-2.64

Values from the calculation:
Space group: P4mm, No. 99
Distance to the lowest polymorph of the same formula: 0.037 eV per atom
DFT total energy: -6.522 eV/atom
N(E_F): 0.745 states/eV/f.u.
Total magnetic moment: 0.00 μB/f.u.
Raw formation energy: 0.89 eV per formula unit



No. 12
VASP calculation (PBE) on an optimized crystal structure of NiSb2W.

Cell: 5.9969 5.9969 7.1829 Å, 65.33 65.33 90.00°
Closest atoms and distances in Å follow each position.
Fractional positions:
Sb1 0.6038 0.1250 0.2500  2 Ni 2.50, 2 W 2.64
Sb2 0.1462 0.6250 0.2500  2 Ni 2.50, 2 W 2.64
Sb3 0.3750 0.3962 0.7500  2 Ni 2.50, 2 W 2.64
Sb4 0.8750 0.8538 0.7500  2 Ni 2.50, 2 W 2.64
W1 0.0000 0.0000 0.0000  4 Sb 2.64
W2 0.7500 0.2500 0.5000  4 Sb 2.64
Ni1 0.5000 0.5000 0.0000  4 Sb 2.50
Ni2 0.2500 0.7500 0.5000  4 Sb 2.50

Values from the calculation:
Space group: I-42d, No. 122
Distance to the lowest polymorph of the same formula: 0.650 eV per atom
DFT total energy: -5.909 eV/atom
N(E_F): 3.390 states/eV/f.u.
Total magnetic moment: 0.00 μB/f.u.
Raw formation energy: 3.34 eV per formula unit